Record 1
Below is crystalline Dy3Tm3CuTc2 at its relaxed geometry, with properties calculated at the GGA-PBE level.

```
Dy3Tm3CuTc2
1.0
3.8186 0.0000 0.0000
0.0000 8.0004 0.0000
0.0000 -4.0002 6.9286
Tc Tm Dy Cu
2 3 3 1
Direct
0.5000 0.3333 0.6667
0.5000 0.6667 0.3333
0.0000 0.4067 0.0000
0.0000 0.5933 0.5933
0.0000 0.0000 0.4067
0.5000 0.0000 0.7353
0.5000 0.2647 0.2647
0.5000 0.7353 0.0000
0.0000 0.0000 0.0000
```

Crystal system: hexagonal
Uncorrected energy in eV/atom: -5.819
SG: No. 189
Fermi-level density of states in states/eV/f.u.: 8.67
DFT formation energy in eV per atom: -0.04
Volume in A^3/atom: 23.5



Record 2
Below is crystalline DyYCuTc at its relaxed geometry, with properties calculated at the GGA-PBE level.

```
DyYCuTc
1.0
-4.5510 -0.0100 -1.7535
-3.4133 -2.7854 2.0921
-3.6030 2.0658 2.5568
Dy Y Cu Tc
1 1 1 1
Direct
0.2500 0.2500 0.2500
0.7500 0.7500 0.7500
0.0000 0.0000 0.0000
0.5000 0.5000 0.5000
```

Crystal system: cubic
Uncorrected energy in eV/atom: -6.466
SG: No. 216
Fermi-level density of states in states/eV/f.u.: 3.45
DFT formation energy in eV per atom: -0.08
Volume in A^3/atom: 20.5



Record 3
Below is crystalline DyZrCuTc at its relaxed geometry, with properties calculated at the GGA-PBE level.

```
DyZrCuTc
1.0
-1.3769 -2.0664 -4.0506
2.6039 -3.4972 -1.8875
-1.6281 -4.4633 0.0439
Dy Zr Cu Tc
1 1 1 1
Direct
0.0000 0.0000 0.0000
0.5000 0.5000 0.5000
0.2500 0.2500 0.2500
0.7500 0.7500 0.7500
```

Crystal system: cubic
Uncorrected energy in eV/atom: -7.071
SG: No. 216
Fermi-level density of states in states/eV/f.u.: 2.83
DFT formation energy in eV per atom: -0.17
Volume in A^3/atom: 19.0



Record 4
Below is crystalline Dy5CuTe5 at its relaxed geometry, with properties calculated at the GGA-PBE level.

```
Dy5CuTe5
1.0
6.1253 0.0000 0.0000
-3.0627 6.8272 -0.0835
0.0000 -2.6603 8.1081
Te Dy Cu
5 5 1
Direct
0.3237 0.6473 0.6643
0.3369 0.6739 0.1766
0.0000 0.0000 0.5000
0.6763 0.3527 0.3357
0.6631 0.3261 0.8234
0.8427 0.6853 0.1574
0.1573 0.3147 0.8426
0.5000 0.0000 0.0000
0.1568 0.3137 0.3192
0.8432 0.6863 0.6808
0.0000 0.0000 0.0000
```

Crystal system: monoclinic
Formation energy (no corrections) in eV/atom: -1.111
Uncorrected energy in eV/atom: -5.004
SG: No. 12
Fermi-level density of states in states/eV/f.u.: 9.59
Volume in A^3/atom: 30.7



Record 5
Below is crystalline Dy7Cu2Te2 at its relaxed geometry, with properties calculated at the GGA-PBE level.

```
Dy7Cu2Te2
1.0
3.8799 0.0000 0.8321
1.0522 8.1245 4.5553
0.0190 -0.1249 9.3728
Dy Te Cu
7 2 2
Direct
0.6287 0.4770 0.2655
0.1427 0.1145 0.6001
0.8573 0.3999 0.8855
0.5000 0.0189 0.9811
0.8141 0.0864 0.2853
0.3713 0.7345 0.5230
0.1859 0.7147 0.9136
0.0000 0.7571 0.2429
0.5000 0.3578 0.6422
0.7370 0.8595 0.6664
0.2630 0.3336 0.1405
```

Crystal system: orthorhombic
Formation energy (no corrections) in eV/atom: -0.577
Uncorrected energy in eV/atom: -4.821
E above lowest polymorph in meV/atom: 0.0
SG: No. 44
Fermi-level density of states in states/eV/f.u.: 11.41
Volume in A^3/atom: 27.0



Record 6
Below is crystalline Dy6CuTe5 at its relaxed geometry, with properties calculated at the GGA-PBE level.

```
Dy6CuTe5
1.0
7.3647 -0.0948 -1.3820
-3.9623 6.2087 -1.3820
0.1344 0.2415 7.4835
Dy Te Cu
6 5 1
Direct
0.7790 0.7790 0.2375
0.9257 0.6244 0.7736
0.2210 0.2210 0.7625
0.0743 0.3756 0.2264
0.6244 0.9257 0.7736
0.3756 0.0743 0.2264
0.5000 0.5000 0.5000
0.8195 0.1805 0.5000
0.1805 0.8195 0.5000
0.6637 0.3363 0.0000
0.3363 0.6637 0.0000
0.0000 0.0000 0.0000
```

Crystal system: monoclinic
Formation energy (no corrections) in eV/atom: -1.148
Uncorrected energy in eV/atom: -5.100
SG: No. 12
Fermi-level density of states in states/eV/f.u.: 4.47
Volume in A^3/atom: 28.7